(1)
This record from the Alexandria database describes a geometry-optimized CaPrRh4 structure. The functional is GGA-PBE.

The calculation puts the formation energy at -0.551 eV/atom. As for the electronic total energy: -6.582 eV per atom.

It has space group F-43m (No. 216), with a = 7.6356 Å, b = 7.6356 Å, c = 7.6356 Å, α = 90.00°, β = 90.00° and γ = 90.00°. The distinct sites, in fractional coordinates, are Ca at (0.0000, 0.0000, 0.0000), Pr at (0.2500, 0.2500, 0.7500) and Rh at (0.1252, 0.1252, 0.3748).

(2)
This record from the Alexandria database describes a geometry-optimized Y2Tm3Ag3 structure. The functional is GGA-PBE.

The calculation puts the formation energy at -0.221 eV/atom. As for the electronic total energy: -4.583 eV per atom.

It has space group Immm (No. 71), with a = 3.6464 Å, b = 5.1991 Å, c = 21.3971 Å, α = 90.00°, β = 90.00° and γ = 90.00°. The distinct sites, in fractional coordinates, are Y at (0.0000, 0.0000, 0.2306), Tm at (0.0000, 0.0000, 0.0000), Tm at (0.0000, 0.5000, 0.1193), Ag at (0.0000, 0.0000, 0.5000) and Ag at (0.0000, 0.5000, 0.3853).

(3)
This record from the Alexandria database describes a geometry-optimized CsPm4Se6 structure. The functional is GGA-PBE.

For the energy above the most stable polymorph in this dataset, the calculation gives 0.0 meV/atom. As for the uncorrected formation energy: -1.782 eV/atom. As for the electronic total energy: -5.488 eV per atom.

It has space group Cmcm (No. 63), with a = 4.2673 Å, b = 14.2024 Å, c = 22.6510 Å, α = 90.00°, β = 90.00° and γ = 90.00°. The distinct sites, in fractional coordinates, are Cs at (0.0000, 0.1547, 0.2500), Pm at (0.0000, 0.0995, 0.6312), Pm at (0.0000, 0.3686, 0.5399), Se at (0.0000, 0.0000, 0.0000), Se at (0.0000, 0.1479, 0.7500), Se at (0.0000, 0.2698, 0.0796) and Se at (0.0000, 0.4659, 0.6489).

(4)
This record from the Alexandria database describes a geometry-optimized BaHf2HgW structure. The functional is GGA-PBE.

The calculation puts the formation energy at 1.870 eV/atom. As for the electronic total energy: -5.147 eV per atom.

It has space group P4/mmm (No. 123), with a = 5.2721 Å, b = 5.2721 Å, c = 5.9806 Å, α = 90.00°, β = 90.00° and γ = 90.00°. The distinct sites, in fractional coordinates, are Ba at (0.0000, 0.0000, 0.0000), Hf at (0.0000, 0.5000, 0.5000), Hg at (0.0000, 0.0000, 0.5000) and W at (0.5000, 0.5000, 0.0000).